Computed, not measured: an optimized crystal structure of Cs2Li2TlO4 at the PBE-GGA level of DFT.

Values from the calculation:
* SG: C2/m
* formation energy (no corrections): -1147 meV per atom
* magnetization: 1.0 μB/cell
* DFT total energy: -38.06 eV for the cell shown
* crystal system: monoclinic

Unit cell a=6.751 b=6.751 c=6.798 alpha=107.76 beta=107.76 gamma=30.97
Fractional coordinates of all 9 atoms:
Cs1 0.141 0.141 0.067
Cs2 0.859 0.859 0.933
Li1 0.323 0.323 0.506
Li2 0.677 0.677 0.494
Tl1 0.000 0.000 0.500
O1 0.186 0.186 0.617
O2 0.475 0.475 0.706
O3 0.525 0.525 0.294
O4 0.814 0.814 0.383